# VHgC2O8 | Alexandria | PBE+U | optimized geometry
# DOS at the Fermi energy: 4.10 states/eV/cell
# total energy: -6.443 eV/atom
data_VHgC2O8
_symmetry_space_group_name_H-M 'C 1 2/m 1'
_symmetry_Int_Tables_number 12
_cell_length_a 7.867
_cell_length_b 4.948
_cell_length_c 7.302
_cell_angle_alpha 90.00
_cell_angle_beta 97.30
_cell_angle_gamma 90.00
loop_
_symmetry_equiv_pos_as_xyz
'x,y,z'
'-x,-y,-z'
'-x,y,-z'
'x,-y,z'
'x+1/2,y+1/2,z'
'-x+1/2,-y+1/2,-z'
'-x+1/2,y+1/2,-z'
'x+1/2,-y+1/2,z'
loop_
_atom_site_label
_atom_site_fract_x
_atom_site_fract_y
_atom_site_fract_z
V1 0.000 0.000 0.000
Hg1 0.000 0.000 0.500
C1 0.174 0.500 0.207
O1 0.067 0.274 0.183
O2 0.208 0.000 0.917
O3 0.243 0.500 0.391